A relaxed structure of K2CrAs2O7, computed with PBE+U.

Summary:
The calculation puts the volume at 609 Å³/cell. The value obtained for the total energy is -71.27 eV/f.u. As for the crystal system: trigonal.

a = 5.7784 Å, b = 5.7784 Å, c = 21.0500 Å
α = 90.00°, β = 90.00°, γ = 120.00°
Space group R-3m (No. 166, hexagonal axes)
One atom of each set of equivalent atoms:
K 0.0000 0.0000 0.2413
Cr 0.0000 0.0000 0.0000
As 0.0000 0.0000 0.4135
O 0.0000 0.0000 0.5000
O 0.0006 0.5003 0.2732